A relaxed structure of KZn, computed with GGA-PBE.

Unit cell a=9.740 b=9.740 c=9.740 alpha=90.00 beta=90.00 gamma=90.00
Element x y z (fractional)
K (0.000, 0.250, 0.500)
K (0.000, 0.750, 0.500)
K (0.250, 0.500, 0.000)
K (0.500, 0.000, 0.250)
K (0.500, 0.000, 0.750)
K (0.750, 0.500, 0.000)
Zn (0.000, 0.500, 0.250)
Zn (0.000, 0.500, 0.750)
Zn (0.250, 0.000, 0.500)
Zn (0.500, 0.250, 0.000)
Zn (0.500, 0.750, 0.000)
Zn (0.750, 0.000, 0.500)

Space group ... Pm-3n (223)
DFT formation energy ... 0.537 eV per atom
Total magnetic moment ... 0.0 μB/f.u.
Crystal system ... cubic

=====

A relaxed structure of K2Zn3, computed with GGA-PBE.

Unit cell a=4.456 b=4.456 c=29.826 alpha=90.00 beta=90.00 gamma=120.00
Element x y z (fractional)
K (0.000, 0.000, 0.083)
K (0.000, 0.000, 0.917)
K (0.333, 0.667, 0.584)
K (0.333, 0.667, 0.750)
K (0.667, 0.333, 0.250)
K (0.667, 0.333, 0.416)
Zn (0.000, 0.000, 0.333)
Zn (0.000, 0.000, 0.500)
Zn (0.000, 0.000, 0.667)
Zn (0.333, 0.667, 0.000)
Zn (0.333, 0.667, 0.167)
Zn (0.333, 0.667, 0.333)
Zn (0.667, 0.333, 0.000)
Zn (0.667, 0.333, 0.667)
Zn (0.667, 0.333, 0.833)

Space group ... R-3m (166)
E above lowest polymorph ... 193.5 meV per atom
DFT formation energy ... 0.165 eV per atom
Total magnetic moment ... 0.0 μB/f.u.
Crystal system ... trigonal

=====

A relaxed structure of KZn2, computed with GGA-PBE.

Unit cell a=3.619 b=3.619 c=12.169 alpha=90.00 beta=90.00 gamma=90.00
Element x y z (fractional)
K (0.000, 0.000, 0.000)
K (0.500, 0.500, 0.500)
Zn (0.000, 0.000, 0.281)
Zn (0.000, 0.000, 0.719)
Zn (0.500, 0.500, 0.219)
Zn (0.500, 0.500, 0.781)

Space group ... I4/mmm (139)
DFT formation energy ... 0.112 eV per atom
Total magnetic moment ... 0.0 μB/f.u.
Crystal system ... tetragonal

=====

Number 1: V 924.08 Å³/cell. Number 2: V 512.81 Å³/cell. Number 3: V 159.35 Å³/cell.